1.
Computed, not measured: an optimized crystal structure of Ca4MoW at the PBE level of DFT.

POSCAR file:
```
Ca4MoW
1.0
-2.070 -5.769 1.484
-6.191 -1.107 0.460
-2.905 -3.524 -4.349
Mo Ca W
1 4 1
direct
0.750 0.750 0.750
0.875 0.375 0.375
0.375 0.875 0.375
0.375 0.375 0.375
0.375 0.375 0.875
0.000 0.000 0.000
```

Results
As for the symmetry: F-43m, No. 216. The calculation puts the formation energy at 939.8 kJ/mol of formula units. As for the volume: 29.6 A^3/atom. As for the calculated density: 4.1 g/cm3.



2.
Computed, not measured: an optimized crystal structure of CaMo2W at the PBE level of DFT.

POSCAR file:
```
CaMo2W
1.0
2.817 0.004 0.000
-0.932 2.658 0.000
0.000 0.000 9.670
Mo Ca W
2 1 1
direct
0.000 0.000 0.029
0.500 0.500 0.249
0.500 0.500 0.750
0.000 0.000 0.472
```

Results
As for the symmetry: Cmm2, No. 35. For the excess energy over the best structure of this formula in the dataset, the calculation gives 0.0185 eV/atom. The calculation puts the formation energy at 194.9 kJ/mol of formula units. As for the volume: 18.1 A^3/atom. As for the calculated density: 9.5 g/cm3.



3.
Computed, not measured: an optimized crystal structure of CaMoW at the PBE level of DFT.

POSCAR file:
```
CaMoW
1.0
-1.807 -5.277 2.622
2.334 -5.686 0.467
0.828 6.092 0.436
W Mo Ca
1 1 1
direct
0.700 0.700 0.000
0.301 0.301 0.000
0.999 0.999 0.000
```

Results
As for the symmetry: I4mm, No. 107. For the excess energy over the best structure of this formula in the dataset, the calculation gives 0.0000 eV/atom. The calculation puts the formation energy at 158.3 kJ/mol of formula units. As for the volume: 20.9 A^3/atom. As for the calculated density: 8.5 g/cm3.



4.
Computed, not measured: an optimized crystal structure of Ca2MoW at the PBE level of DFT.

POSCAR file:
```
Ca2MoW
1.0
-3.044 -1.105 -1.972
-2.076 -0.636 3.560
-1.711 4.923 -0.118
Ca Mo W
2 1 1
direct
0.500 0.500 0.000
0.000 0.000 0.000
0.500 0.000 0.500
0.000 0.500 0.500
```

Results
As for the symmetry: Pmmm, No. 47. For the excess energy over the best structure of this formula in the dataset, the calculation gives 0.4724 eV/atom. The calculation puts the formation energy at 347.1 kJ/mol of formula units. As for the volume: 20.6 A^3/atom. As for the calculated density: 7.3 g/cm3.



5.
Computed, not measured: an optimized crystal structure of Ca2MoW at the PBE level of DFT.

POSCAR file:
```
Ca2MoW
1.0
-4.900 2.373 -1.602
-2.754 -3.039 3.923
0.376 2.002 1.815
W Ca Mo
1 2 1
direct
0.000 0.500 0.500
0.000 0.000 0.000
0.500 0.500 0.000
0.500 0.000 0.500
```

Results
As for the symmetry: P4/mmm, No. 123. For the excess energy over the best structure of this formula in the dataset, the calculation gives 0.9014 eV/atom. The calculation puts the formation energy at 512.7 kJ/mol of formula units. As for the volume: 22.0 A^3/atom. As for the calculated density: 6.8 g/cm3.



6.
Computed, not measured: an optimized crystal structure of Ca2MoW at the PBE level of DFT.

POSCAR file:
```
Ca2MoW
1.0
6.046 -0.017 -0.070
-2.487 5.371 0.047
1.072 0.628 2.529
Mo Ca W
1 2 1
direct
0.000 0.500 0.500
0.000 0.000 0.000
0.500 0.000 0.500
0.500 0.500 0.000
```

Results
As for the symmetry: C2/m, No. 12. For the excess energy over the best structure of this formula in the dataset, the calculation gives 0.4683 eV/atom. The calculation puts the formation energy at 345.5 kJ/mol of formula units. As for the volume: 20.6 A^3/atom. As for the calculated density: 7.3 g/cm3.



7.
Computed, not measured: an optimized crystal structure of CaMo2W at the PBE level of DFT.

POSCAR file:
```
CaMo2W
1.0
4.448 0.000 0.000
0.000 2.805 0.005
0.000 1.018 6.093
Mo W Ca
2 1 1
direct
0.500 0.243 0.251
0.000 0.991 0.052
0.000 0.504 0.446
0.500 0.761 0.751
```

Results
As for the symmetry: Pm, No. 6. For the excess energy over the best structure of this formula in the dataset, the calculation gives 0.1292 eV/atom. The calculation puts the formation energy at 237.7 kJ/mol of formula units. As for the volume: 19.0 A^3/atom. As for the calculated density: 9.1 g/cm3.



8.
Computed, not measured: an optimized crystal structure of Ca2MoW at the PBE level of DFT.

POSCAR file:
```
Ca2MoW
1.0
4.512 -0.013 0.011
3.399 2.967 0.011
0.524 0.196 7.691
W Mo Ca
1 1 2
direct
0.763 0.763 0.683
0.487 0.487 0.565
0.236 0.236 0.317
0.014 0.014 0.935
```

Results
As for the symmetry: Cm, No. 8. For the excess energy over the best structure of this formula in the dataset, the calculation gives 0.2303 eV/atom. The calculation puts the formation energy at 253.7 kJ/mol of formula units. As for the volume: 25.8 A^3/atom. As for the calculated density: 5.8 g/cm3.



9.
Computed, not measured: an optimized crystal structure of CaMo2W at the PBE level of DFT.

POSCAR file:
```
CaMo2W
1.0
-1.183 0.614 -2.888
-2.764 -1.324 0.850
-2.491 6.782 2.462
W Mo Ca
1 2 1
direct
0.500 0.500 0.250
0.000 0.000 0.054
0.000 0.000 0.446
0.500 0.500 0.750
```

Results
As for the symmetry: P4/mmm, No. 123. For the excess energy over the best structure of this formula in the dataset, the calculation gives 0.0624 eV/atom. The calculation puts the formation energy at 211.8 kJ/mol of formula units. As for the volume: 19.3 A^3/atom. As for the calculated density: 8.9 g/cm3.



10.
Computed, not measured: an optimized crystal structure of CaMo2W at the PBE level of DFT.

POSCAR file:
```
CaMo2W
1.0
-3.627 3.861 -7.772
-2.594 1.190 -8.962
-5.379 1.307 -7.604
Mo Ca W
2 1 1
direct
0.513 0.513 0.513
0.987 0.987 0.987
0.750 0.750 0.750
0.250 0.250 0.250
```

Results
As for the symmetry: R-3m, No. 166. For the excess energy over the best structure of this formula in the dataset, the calculation gives 0.1960 eV/atom. The calculation puts the formation energy at 263.4 kJ/mol of formula units. As for the volume: 19.2 A^3/atom. As for the calculated density: 9.0 g/cm3.



11.
Computed, not measured: an optimized crystal structure of Ca2MoW at the PBE level of DFT.

POSCAR file:
```
Ca2MoW
1.0
10.400 -0.035 -0.020
9.861 3.305 -0.020
9.861 1.592 2.896
Mo Ca W
1 2 1
direct
0.516 0.516 0.516
0.764 0.764 0.764
0.986 0.986 0.986
0.234 0.234 0.234
```

Results
As for the symmetry: R3m, No. 160. For the excess energy over the best structure of this formula in the dataset, the calculation gives 0.2247 eV/atom. The calculation puts the formation energy at 251.5 kJ/mol of formula units. As for the volume: 25.3 A^3/atom. As for the calculated density: 5.9 g/cm3.



12.
Computed, not measured: an optimized crystal structure of CaMo2W at the PBE level of DFT.

POSCAR file:
```
CaMo2W
1.0
-0.139 -2.996 1.035
3.142 -0.267 -0.351
1.009 2.437 7.187
Mo W Ca
2 1 1
direct
0.500 0.500 0.250
0.000 0.000 0.056
0.000 0.000 0.445
0.500 0.500 0.749
```

Results
As for the symmetry: P4mm, No. 99. For the excess energy over the best structure of this formula in the dataset, the calculation gives 0.1108 eV/atom. The calculation puts the formation energy at 230.5 kJ/mol of formula units. As for the volume: 19.3 A^3/atom. As for the calculated density: 9.0 g/cm3.



no.,E_tot (eV per atom)
1,-3.675
2,-8.649
3,-8.048
4,-6.047
5,-5.619
6,-6.052
7,-8.538
8,-6.290
9,-8.605
10,-8.472
11,-6.295
12,-8.557